(1)
Material: AcPaAuO5
Method: DFT, PBE
State: optimized geometry

Calculated values
formation energy from raw total energies = -2.5043 eV/atom
E_tot = -7.71 eV per atom

a b c (Å): 6.376 6.376 8.144
angles (deg): 106.40 106.40 103.41
Atoms (fractional coordinates):
Ac  0.074  0.926  0.750
Ac  0.926  0.074  0.250
Pa  0.000  0.500  0.000
Pa  0.500  0.000  0.500
Au  0.495  0.505  0.750
Au  0.505  0.495  0.250
O  0.179  0.821  0.250
O  0.189  0.245  0.071
O  0.200  0.635  0.875
O  0.245  0.189  0.571
O  0.365  0.800  0.625
O  0.635  0.200  0.375
O  0.755  0.811  0.429
O  0.800  0.365  0.125
O  0.811  0.755  0.929
O  0.821  0.179  0.750

***

(2)
Material: Ac2PbAuO5
Method: DFT, PBE
State: optimized geometry

Calculated values
formation energy from raw total energies = -1.8993 eV/atom
E_tot = -6.34 eV per atom

a b c (Å): 7.159 7.159 6.181
angles (deg): 90.00 90.00 90.00
Atoms (fractional coordinates):
Ac  0.173  0.327  0.000
Ac  0.327  0.827  0.000
Ac  0.673  0.173  0.000
Ac  0.827  0.673  0.000
Pb  0.000  0.000  0.500
Pb  0.500  0.500  0.500
Au  0.000  0.500  0.500
Au  0.500  0.000  0.500
O  0.000  0.000  0.000
O  0.148  0.648  0.251
O  0.148  0.648  0.749
O  0.352  0.148  0.251
O  0.352  0.148  0.749
O  0.500  0.500  0.000
O  0.648  0.852  0.251
O  0.648  0.852  0.749
O  0.852  0.352  0.251
O  0.852  0.352  0.749

***

(3)
Material: AcPb3Au4O12
Method: DFT, PBE
State: optimized geometry

Calculated values
formation energy from raw total energies = -0.6148 eV/atom
E_tot = -5.01 eV per atom

a b c (Å): 7.289 7.289 7.289
angles (deg): 105.87 105.87 105.87
Atoms (fractional coordinates):
Ac  0.000  0.000  0.000
Pb  0.000  0.572  0.428
Pb  0.428  0.000  0.572
Pb  0.572  0.428  0.000
Au  0.103  0.500  0.897
Au  0.500  0.500  0.500
Au  0.500  0.897  0.103
Au  0.897  0.103  0.500
O  0.010  0.253  0.336
O  0.086  0.914  0.500
O  0.253  0.336  0.010
O  0.327  0.673  0.500
O  0.336  0.010  0.253
O  0.500  0.086  0.914
O  0.500  0.327  0.673
O  0.664  0.747  0.990
O  0.673  0.500  0.327
O  0.747  0.990  0.664
O  0.914  0.500  0.086
O  0.990  0.664  0.747

***

(4)
Material: AcPb2AuO8
Method: DFT, PBE
State: optimized geometry

Calculated values
formation energy from raw total energies = -0.9763 eV/atom
E_tot = -5.52 eV per atom

a b c (Å): 4.772 7.117 5.247
angles (deg): 90.00 91.10 90.00
Atoms (fractional coordinates):
Ac  0.000  0.000  0.000
Pb  0.500  0.260  0.500
Pb  0.500  0.740  0.500
Au  0.000  0.500  0.000
O  0.141  0.287  0.232
O  0.141  0.713  0.232
O  0.342  0.500  0.754
O  0.422  0.000  0.735
O  0.578  0.000  0.265
O  0.658  0.500  0.246
O  0.859  0.287  0.768
O  0.859  0.713  0.768

***

Ρ (computed, Mg/m³): 8.52; 9.84; 9.15; 9.01